1.
NbAuS | the Alexandria database | PBE-GGA | relaxed; total energy = -6.090 eV per atom; density = 9.3 Mg/m³; ΔE_f (raw) = -77 kJ/mol of formula units; magnetization = 0.0 Bohr magnetons per cell
1.0
7.240 -2.301 0.000
7.240 2.301 0.000
-0.594 0.000 6.936
Nb Au S
4 4 4
Cartesian
2.181 0.000 0.925
2.160 0.000 3.763
11.726 0.000 3.172
11.705 0.000 6.011
0.014 0.000 5.614
6.016 0.000 4.586
7.870 0.000 2.350
13.872 0.000 1.322
3.477 0.000 6.091
4.236 0.000 2.389
9.650 0.000 4.546
10.409 0.000 0.844


2.
PPbN | the Alexandria database | PBE-GGA | relaxed; total energy = -5.310 eV per atom; density = 7.2 Mg/m³; ΔE_f (raw) = 146 kJ/mol of formula units; magnetization = 0.0 Bohr magnetons per cell
1.0
2.462 -1.710 0.000
2.462 1.710 0.000
-1.831 0.000 6.903
P Pb N
1 1 1
Cartesian
0.000 0.000 0.000
0.007 0.000 2.918
-0.118 0.000 6.313


> Which formula does entry 1 have?

NbAuS


> Which formula does entry 1 have?

NbAuS


> What is the formula in the second record?

PPbN


> What is the formula in the second record?

PPbN